{"formula": "Ac3SiP2Pt6", "functional": "PBE-GGA", "state": "relaxed", "lattice": [[-1.464, 0.100, -5.584], [1.214, -5.022, 2.577], [-9.279, -1.003, 2.416]], "species": ["P", "Pt", "Pt", "Ac", "Si", "Pt", "P", "Ac", "Ac", "Pt", "Pt", "Pt"], "fractional_positions": [[0.333, 0.667, 0.115], [0.165, 0.330, 0.290], [0.835, 0.670, 0.710], [0.667, 0.333, 0.403], [0.000, 0.000, 0.500], [0.165, 0.835, 0.290], [0.667, 0.333, 0.885], [0.333, 0.667, 0.597], [0.000, 0.000, 0.000], [0.835, 0.165, 0.710], [0.670, 0.835, 0.290], [0.330, 0.165, 0.710]], "spacegroup": "P-3m1", "n_ef_per_ev_fu": 4.7, "e_form_raw_ev_per_fu": -12.0}